#one
Here is a geometry-optimized Cu5Ag4 structure from OQMD. Energies are from PBE.

Unit cell a=7.069 b=7.069 c=7.777 alpha=119.45 beta=119.45 gamma=23.07
Fractional coordinates of all 9 atoms:
Cu (0.439, 0.439, 0.657)
Cu (0.239, 0.239, 0.352)
Cu (0.888, 0.888, 0.335)
Cu (0.340, 0.340, 0.019)
Cu (0.988, 0.988, 0.971)
Ag (0.668, 0.668, 0.021)
Ag (0.556, 0.556, 0.307)
Ag (0.781, 0.781, 0.676)
Ag (0.101, 0.101, 0.662)

#two
Here is a geometry-optimized Cu5Ag4 structure from OQMD. Energies are from PBE.

Unit cell a=12.674 b=12.674 c=12.674 alpha=167.46 beta=162.84 gamma=21.31
Fractional coordinates of all 9 atoms:
Cu (0.500, 0.500, 0.000)
Cu (0.275, 0.275, 0.000)
Cu (0.725, 0.725, 0.000)
Cu (0.612, 0.612, 0.000)
Cu (0.388, 0.388, 0.000)
Ag (0.169, 0.169, 0.000)
Ag (0.944, 0.944, 0.000)
Ag (0.056, 0.056, 0.000)
Ag (0.831, 0.831, 0.000)

Here is how they stack up, most stable first: #one, #two.

#one
Here is a geometry-optimized BeSiNiHg structure from OQMD. Energies are from PBE.

Unit cell a=4.282 b=4.282 c=4.282 alpha=60.00 beta=60.00 gamma=60.00
Fractional coordinates of all 4 atoms:
Hg (0.500, 0.500, 0.500)
Be (0.750, 0.750, 0.750)
Si (0.000, 0.000, 0.000)
Ni (0.250, 0.250, 0.250)

#two
Here is a geometry-optimized BeSiNiHg structure from OQMD. Energies are from PBE.

Unit cell a=4.273 b=4.273 c=4.273 alpha=60.00 beta=60.00 gamma=60.00
Fractional coordinates of all 4 atoms:
Ni (0.750, 0.750, 0.750)
Be (0.500, 0.500, 0.500)
Si (0.000, 0.000, 0.000)
Hg (0.250, 0.250, 0.250)

Here is how they stack up, most stable first: #one, #two.